This record from the Alexandria database describes an optimized crystal structure of SmTiRh2. The functional is PBE.

The density of states at the Fermi level is 4.389 states/eV/cell.

The structure belongs to space group P4/mmm (No. 123); the cell edges are 4.741, 4.741 and 3.229 Å and the angles 90.00°, 90.00° and 90.00°. The asymmetric unit holds Sm at (0.000, 0.000, 0.000), Ti at (0.500, 0.500, 0.000) and Rh at (0.000, 0.500, 0.500).



This record from the Alexandria database describes an optimized crystal structure of La3Tb5Pr3. The functional is PBE.

The density of states at the Fermi level is 18.012 states/eV/cell.

The structure belongs to space group P-62m (No. 189); the cell edges are 9.6534, 9.6534 and 5.5839 Å and the angles 90.00°, 90.00° and 120.00°. The asymmetric unit holds La at (0.0000, 0.6353, 0.0000), Tb at (0.0000, 0.2741, 0.0000), Tb at (0.3333, 0.6667, 0.0000) and Pr at (0.0000, 0.4958, 0.5000).



This record from the Alexandria database describes an optimized crystal structure of NaTl2Pd5. The functional is PBE.

As for the energy above the lowest structure with this stoichiometry: 0.0 kJ per mole of atoms. The density of states at the Fermi level is 4.662 states/eV/cell.

The structure belongs to space group I4/mmm (No. 139); the cell edges are 5.977, 5.977 and 7.854 Å and the angles 90.00°, 90.00° and 90.00°. The asymmetric unit holds Na at (0.000, 0.000, 0.000), Tl at (0.000, 0.500, 0.000), Pd at (0.000, 0.000, 0.500) and Pd at (0.250, 0.250, 0.250).



Values of E_form, in order: -2.2 7.7 -1.7, all in eV per formula unit.
Values of raw total energy, in order: -7.37 -4.05 -4.21, all in eV/atom.